Entry 1:
Below is a geometry-optimized NbFe2ReW structure, with properties calculated at the GGA-PBE level.

- formation energy (eV/atom) = 1.74
- E_tot (eV per atom) = -8.736

```
NbFe2ReW
1.0
-3.258 -2.232 -1.811
2.418 -4.145 0.759
-1.894 -0.392 3.891
Fe Nb W Re
2 1 1 1
Direct
0.500 0.000 0.000
0.000 0.000 0.500
0.000 0.500 0.000
0.500 0.500 0.500
0.000 0.000 0.000
```

Entry 2:
Below is a geometry-optimized Ho4Al2O structure, with properties calculated at the GGA-PBE level.

- formation energy without anion corrections (eV/f.u.) = -7.04
- E_tot (eV per atom) = -5.400

```
Ho4Al2O
1.0
-4.308 -1.227 -0.884
0.168 -3.042 3.400
-0.543 7.655 3.810
Ho O Al
4 1 2
Direct
0.829 0.829 0.657
0.500 0.000 0.000
0.171 0.171 0.343
0.000 0.500 0.000
0.000 0.000 0.000
0.364 0.364 0.729
0.636 0.636 0.271
```

Entry 3:
Below is a geometry-optimized PmZnNiIr structure, with properties calculated at the GGA-PBE level.

- formation energy (eV/atom) = -0.23
- E_tot (eV per atom) = -5.397

```
PmZnNiIr
1.0
4.622 0.000 0.000
2.311 4.003 0.000
2.311 1.334 3.774
Ni Pm Ir Zn
1 1 1 1
Direct
0.750 0.750 0.750
0.000 0.000 0.000
0.250 0.250 0.250
0.500 0.500 0.500
```

Entry 4:
Below is a geometry-optimized SrPbCl2 structure, with properties calculated at the GGA-PBE level.

- distance to the lowest polymorph of the same formula (meV/atom) = 414
- formation energy without anion corrections (eV/f.u.) = -4.23
- E_tot (eV per atom) = -3.328

```
SrPbCl2
1.0
0.000 3.831 3.831
3.831 0.000 3.831
3.831 3.831 0.000
Pb Cl Sr
1 2 1
Direct
0.500 0.500 0.500
0.250 0.250 0.250
0.750 0.750 0.750
0.000 0.000 0.000
```

Entry 5:
Below is a geometry-optimized BaV2CuSi structure, with properties calculated at the GGA-PBE level.

- formation energy without anion corrections (eV/f.u.) = 5.75
- E_tot (eV per atom) = -4.786

```
BaV2CuSi
1.0
4.848 0.000 0.000
0.000 5.526 0.000
0.000 0.000 4.848
Cu Ba V Si
1 1 2 1
Direct
0.000 0.000 0.000
0.000 0.500 0.000
0.500 0.000 0.000
0.000 0.000 0.500
0.500 0.500 0.500
```

Entry 6:
Below is a geometry-optimized Cs2PaSe5 structure, with properties calculated at the GGA-PBE level.

- formation energy without anion corrections (eV/f.u.) = -7.41
- E_tot (eV per atom) = -4.505

```
Cs2PaSe5
1.0
5.747 0.000 0.000
0.000 7.012 0.000
0.000 0.000 7.012
Pa Se Cs
1 5 2
Direct
0.000 0.000 0.000
0.000 0.724 0.276
0.000 0.724 0.724
0.000 0.276 0.724
0.000 0.276 0.276
0.500 0.000 0.000
0.500 0.000 0.500
0.500 0.500 0.000
```

Entry 7:
Below is a geometry-optimized FeCu2 structure, with properties calculated at the GGA-PBE level.

- formation energy (eV/atom) = 0.19
- E_tot (eV per atom) = -5.359

```
FeCu2
1.0
-1.244 1.244 11.929
1.244 -1.244 11.929
1.244 1.244 -11.929
Fe Cu
2 4
Direct
0.000 0.000 0.000
0.750 0.250 0.500
0.329 0.829 0.500
0.171 0.671 0.500
0.579 0.579 0.000
0.421 0.421 0.000
```

Entry 8:
Below is a geometry-optimized Dy2YHo3Bi6 structure, with properties calculated at the GGA-PBE level.

- formation energy (eV/atom) = -0.85
- E_tot (eV per atom) = -5.245

```
Dy2YHo3Bi6
1.0
4.469 0.000 0.000
0.000 8.935 0.325
-2.235 -2.567 9.396
Bi Ho Y Dy
6 3 1 2
Direct
0.000 0.251 0.000
0.333 0.917 0.666
0.000 0.749 0.000
0.667 0.083 0.334
0.334 0.416 0.667
0.666 0.584 0.333
0.167 0.833 0.333
0.833 0.167 0.667
0.500 0.500 0.000
0.500 0.000 0.000
0.167 0.333 0.333
0.833 0.667 0.667
```

Question: Which of these has the highest E_tot?
Answer: SrPbCl2

Question: Among the records above, which one has the highest E_tot?
Answer: SrPbCl2